Record 1
Computed, not measured: a geometry-optimized Cs3FeTe structure at the PBEsol level of DFT.

The electronic total energy comes out at -2.70 eV per atom. The value obtained for the density of states at the Fermi level is 1.488 states/eV per atom. Its uncorrected formation energy is 0.37 eV/atom.

Unit cell a=6.012 b=6.012 c=6.012 alpha=90.00 beta=90.00 gamma=90.00
Space group Pm-3m (No. 221)
Symmetry-distinct sites (fractional):
1 Cs 0.000 0.000 0.500
2 Fe 0.000 0.000 0.000
3 Te 0.500 0.500 0.500

Record 2
Computed, not measured: a geometry-optimized LiTaIr structure at the PBEsol level of DFT.

The electronic total energy comes out at -8.00 eV per atom. The value obtained for the density of states at the Fermi level is 1.418 states/eV per atom. The distance to the lowest polymorph of the same formula is 0.3019 eV/atom. For the formation energy, the calculation gives 0.115 eV/atom.

Unit cell a=5.927 b=5.927 c=5.927 alpha=90.00 beta=90.00 gamma=90.00
Space group F-43m (No. 216)
Symmetry-distinct sites (fractional):
1 Li 0.000 0.000 0.000
2 Ta 0.000 0.000 0.500
3 Ir 0.250 0.250 0.250